Record 1
Compound: Tc3Os
Source: the Alexandria database
Functional: PBE-GGA
Structure: relaxed

Summary:
- Polymorph energy (0 for the lowest one): 0.005 eV/atom
- E: -0.7814 Ry per atom
- ΔH_f (0 K): -49.1 meV per atom
- Volume: 14.46 Å³ per atom
- Crystal system: orthorhombic

Cell lengths 2.762, 4.377, 4.783 Å; angles 90.00, 90.00, 90.00 degrees
Space group Pmm2 (No. 25)
Unique sites:
Tc  0.000  0.000  0.000 [1 per cell]
Tc  0.000  0.500  0.333 [1 per cell]
Tc  0.500  0.500  0.834 [1 per cell]
Os  0.500  0.000  0.500 [1 per cell]

Record 2
Compound: TcOs4
Source: the Alexandria database
Functional: PBE-GGA
Structure: relaxed

Summary:
- Polymorph energy (0 for the lowest one): 0.723 eV/atom
- E: -0.7522 Ry per atom
- ΔH_f (0 K): 822.3 meV per atom
- Volume: 16.41 Å³ per atom
- Crystal system: tetragonal

Cell lengths 3.754, 3.754, 11.649 Å; angles 90.00, 90.00, 90.00 degrees
Space group I4/mmm (No. 139)
Unique sites:
Tc  0.000  0.000  0.000 [2 per cell]
Os  0.000  0.000  0.398 [4 per cell]
Os  0.000  0.500  0.250 [4 per cell]

Record 3
Compound: Tc3Os
Source: the Alexandria database
Functional: PBE-GGA
Structure: relaxed

Summary:
- Polymorph energy (0 for the lowest one): 0.001 eV/atom
- E: -0.7816 Ry per atom
- ΔH_f (0 K): -53.0 meV per atom
- Volume: 14.47 Å³ per atom
- Crystal system: orthorhombic

Cell lengths 2.761, 8.775, 4.777 Å; angles 90.00, 90.00, 90.00 degrees
Space group Imm2 (No. 44)
Unique sites:
Tc  0.000  0.000  0.000 [2 per cell]
Tc  0.000  0.249  0.665 [4 per cell]
Os  0.000  0.500  0.000 [2 per cell]

Record 4
Compound: Tc3Os5
Source: the Alexandria database
Functional: PBE-GGA
Structure: relaxed

Summary:
- Polymorph energy (0 for the lowest one): 0.463 eV/atom
- E: -0.7624 Ry per atom
- ΔH_f (0 K): 533.4 meV per atom
- Volume: 15.19 Å³ per atom
- Crystal system: hexagonal

Cell lengths 7.5952, 7.5952, 4.8636 Å; angles 90.00, 90.00, 120.00 degrees
Space group P6_3/mcm (No. 193)
Unique sites:
Tc  0.0000  0.4152  0.2500 [6 per cell]
Os  0.0000  0.2029  0.7500 [6 per cell]
Os  0.3333  0.6667  0.0000 [4 per cell]

Record 5
Compound: Tc3Os5
Source: the Alexandria database
Functional: PBE-GGA
Structure: relaxed

Summary:
- Polymorph energy (0 for the lowest one): 0.209 eV/atom
- E: -0.7810 Ry per atom
- ΔH_f (0 K): 279.5 meV per atom
- Volume: 15.07 Å³ per atom
- Crystal system: monoclinic

Cell lengths 4.861, 14.132, 7.161 Å; angles 90.00, 101.36, 90.00 degrees
Space group Cm (No. 8)
Unique sites:
Tc  0.000  0.000  0.000 [2 per cell]
Tc  0.008  0.209  0.020 [4 per cell]
Tc  0.161  0.181  0.630 [4 per cell]
Tc  0.416  0.000  0.327 [2 per cell]
Os  0.181  0.353  0.723 [4 per cell]
Os  0.381  0.500  0.608 [2 per cell]
Os  0.385  0.000  0.729 [2 per cell]
Os  0.408  0.403  0.303 [4 per cell]
Os  0.422  0.201  0.338 [4 per cell]
Os  0.483  0.107  0.027 [4 per cell]

Record 6
Compound: Tc3Os
Source: the Alexandria database
Functional: PBE-GGA
Structure: relaxed

Summary:
- Polymorph energy (0 for the lowest one): 0.000 eV/atom
- E: -0.7817 Ry per atom
- ΔH_f (0 K): -54.1 meV per atom
- Volume: 14.46 Å³ per atom
- Crystal system: orthorhombic

Cell lengths 4.374, 5.521, 4.789 Å; angles 90.00, 90.00, 90.00 degrees
Space group Pmmn (No. 59, origin choice 2)
Unique sites:
Tc  0.250  0.001  0.167 [4 per cell]
Tc  0.250  0.750  0.665 [2 per cell]
Os  0.250  0.250  0.670 [2 per cell]

Record 7
Compound: Tc5Os3
Source: the Alexandria database
Functional: PBE-GGA
Structure: relaxed

Summary:
- E: -0.7810 Ry per atom
- ΔH_f (0 K): 63.3 meV per atom
- Volume: 14.52 Å³ per atom
- Crystal system: orthorhombic

Cell lengths 7.742, 7.744, 3.874 Å; angles 90.00, 90.00, 90.00 degrees
Space group Cmmm (No. 65)
Unique sites:
Tc  0.000  0.000  0.000 [2 per cell]
Tc  0.000  0.252  0.500 [4 per cell]
Tc  0.250  0.250  0.000 [4 per cell]
Os  0.000  0.500  0.000 [2 per cell]
Os  0.247  0.500  0.500 [4 per cell]

Record 8
Compound: Tc2Os3
Source: the Alexandria database
Functional: PBE-GGA
Structure: relaxed

Summary:
- Polymorph energy (0 for the lowest one): 0.062 eV/atom
- E: -0.7902 Ry per atom
- ΔH_f (0 K): 132.5 meV per atom
- Volume: 14.65 Å³ per atom
- Crystal system: orthorhombic

Cell lengths 9.378, 13.081, 4.778 Å; angles 90.00, 90.00, 90.00 degrees
Space group Fdd2 (No. 43)
Unique sites:
Tc  0.034  0.297  0.000 [16 per cell]
Os  0.000  0.000  0.461 [8 per cell]
Os  0.047  0.402  0.481 [16 per cell]